# 1
A PBEsol-optimized structure of BaAg2Ru, computed with SCAN.

```
BaAg2Ru
1.0
3.0382 0.0000 0.0000
-1.5191 2.6311 0.0000
0.0000 0.0000 30.4066
Ba Ag Ru
3 6 3
Cartesian
0.0000 0.0000 0.0000
0.0000 1.7541 20.2711
1.5191 0.8770 10.1355
0.0000 0.0000 7.2161
0.0000 0.0000 23.1906
0.0000 1.7541 13.0550
0.0000 1.7541 27.4872
1.5191 0.8770 2.9195
1.5191 0.8770 17.3516
0.0000 0.0000 15.2033
0.0000 1.7541 5.0678
1.5191 0.8770 25.3388
```

Summary:
ρ = 9.307 Mg/m³
space group = R-3m, No. 166
spin magnetization = 1.591 μB per formula unit
formation energy from the elements = 0.9025 eV/atom
total DFT energy (no corrections) = -33.375 eV/atom


# 2
A PBEsol-optimized structure of BaScAgRu2, computed with SCAN.

```
BaScAgRu2
1.0
4.6459 0.0000 0.0000
0.0000 4.6459 0.0000
0.0000 0.0000 5.6128
Ba Sc Ag Ru
1 1 1 2
Cartesian
0.0000 0.0000 0.0000
0.0000 0.0000 2.8064
2.3230 2.3230 0.0000
0.0000 2.3230 2.8064
2.3230 0.0000 2.8064
```

Summary:
ρ = 6.748 Mg/m³
space group = P4/mmm, No. 123
spin magnetization = 1.668 μB per formula unit
formation energy from the elements = 1.2284 eV/atom
total DFT energy (no corrections) = -29.733 eV/atom


# 3
A PBEsol-optimized structure of Ba3AgS, computed with SCAN.

```
Ba3AgS
1.0
6.1340 0.0000 0.0000
0.0000 6.1340 0.0000
0.0000 0.0000 6.1340
Ba Ag S
3 1 1
Cartesian
0.0000 0.0000 3.0670
0.0000 3.0670 0.0000
3.0670 0.0000 0.0000
0.0000 0.0000 0.0000
3.0670 3.0670 3.0670
```

Summary:
ρ = 3.971 Mg/m³
space group = Pm-3m, No. 221
spin magnetization = 0.000 μB per formula unit
total DFT energy (no corrections) = -32.185 eV/atom
E_form (uncorrected) = -123 kJ/mol of formula units


# 4
A PBEsol-optimized structure of BaAgSbS3, computed with SCAN.

```
BaAgSbS3
1.0
4.6414 -3.9881 0.0000
4.6414 3.9881 0.0000
-3.5164 0.0000 16.5921
Ba Ag Sb S
4 4 4 12
Cartesian
1.1891 1.0179 1.8491
-0.5691 -1.0179 10.1451
6.3355 1.0179 6.4470
4.5773 -1.0179 14.7430
3.7623 2.4095 4.1480
2.0041 0.5624 12.4441
3.7623 -0.5624 4.1480
2.0041 -2.4095 12.4441
1.5682 1.2014 7.0439
-0.1900 -1.2014 15.3400
5.9563 1.2014 1.2521
4.1981 -1.2014 9.5482
-0.3185 1.7775 11.8397
-1.9629 0.4679 15.2212
-0.2047 -0.4679 6.9251
2.3071 0.3004 10.0175
1.4397 -1.7775 3.5437
1.7010 0.3004 14.8706
4.0653 -0.3004 1.7215
4.3267 1.7775 13.0484
3.4592 -0.3004 6.5746
5.9711 0.4679 9.6670
7.7293 -0.4679 1.3709
6.0849 -1.7775 4.7524
```

Summary:
ρ = 5.008 Mg/m³
space group = C2/c, No. 15
spin magnetization = 0.000 μB per formula unit
total DFT energy (no corrections) = -23.835 eV/atom
E_form (uncorrected) = -574 kJ/mol of formula units


# 5
A PBEsol-optimized structure of Ba2TlAgS, computed with SCAN.

```
Ba2TlAgS
1.0
6.2983 0.0000 0.0000
0.0000 6.2983 0.0000
0.0000 0.0000 5.0401
Ba Tl Ag S
2 1 1 1
Cartesian
0.0000 3.1491 0.0000
3.1491 0.0000 0.0000
0.0000 0.0000 0.0000
0.0000 0.0000 2.5200
3.1491 3.1491 2.5200
```

Summary:
ρ = 5.141 Mg/m³
space group = P4/mmm, No. 123
spin magnetization = 0.000 μB per formula unit
total DFT energy (no corrections) = -38.865 eV/atom
E_form (uncorrected) = -181 kJ/mol of formula units


# 6
A PBEsol-optimized structure of Ba3UAgS6, computed with SCAN.

```
Ba3UAgS6
1.0
6.0678 3.5032 4.5686
-6.0678 3.5032 4.5686
0.0000 -7.0064 4.5686
Ba U Ag S
6 2 2 12
Cartesian
-3.7901 0.4418 5.7107
-2.2776 -3.0614 7.9951
1.5125 -3.5032 5.7107
-1.5125 3.5032 7.9950
2.2776 3.0614 5.7108
3.7901 -0.4418 7.9950
0.0000 0.0000 0.0000
0.0000 0.0000 6.8529
0.0000 0.0000 3.4265
0.0000 0.0000 10.2794
-5.2630 -1.5723 7.6074
-1.2698 -5.3441 6.0984
-1.2698 -1.6623 5.3231
-3.9932 3.7718 6.0984
-0.8047 1.9309 5.3231
-2.0746 0.2685 8.3827
2.0746 -0.2685 5.3231
0.8047 -1.9309 8.3827
3.9932 -3.7718 7.6074
1.2698 1.6623 8.3827
1.2698 5.3441 7.6074
5.2630 1.5723 6.0984
```

Summary:
ρ = 5.416 Mg/m³
space group = R-3c, No. 167
spin magnetization = 1.000 μB per formula unit
total DFT energy (no corrections) = -30.137 eV/atom
E_form (uncorrected) = -1948 kJ/mol of formula units


Q: Which value of spin magnetization does entry 6 give?
A: 1.000 μB per formula unit


Q: The highest ρ belongs to which entry?
A: BaAg2Ru


Q: Among the records above, which one has the highest ρ?
A: BaAg2Ru